No. 1
A plane-wave DFT calculation with PBE-GGA was carried out for a relaxed structure of LaNb2Hg2.

a = 4.623 Å, b = 4.623 Å, c = 11.695 Å
α = 90.00°, β = 90.00°, γ = 90.00°
Element x y z (fractional)
La 0.000 0.000 0.000
La 0.500 0.500 0.500
Nb 0.000 0.000 0.399
Nb 0.000 0.000 0.601
Nb 0.500 0.500 0.101
Nb 0.500 0.500 0.899
Hg 0.000 0.500 0.250
Hg 0.000 0.500 0.750
Hg 0.500 0.000 0.250
Hg 0.500 0.000 0.750

Results
For the excess energy over the best structure of this formula in the dataset, the calculation gives 126.3 meV/atom. The symmetry is No. 139. As for the crystal system: tetragonal.

---

No. 2
A plane-wave DFT calculation with PBE-GGA was carried out for a relaxed structure of La3NbHg.

a = 5.591 Å, b = 5.591 Å, c = 5.591 Å
α = 90.00°, β = 90.00°, γ = 90.00°
Element x y z (fractional)
La 0.000 0.000 0.500
La 0.000 0.500 0.000
La 0.500 0.000 0.000
Nb 0.000 0.000 0.000
Hg 0.500 0.500 0.500

Results
For the excess energy over the best structure of this formula in the dataset, the calculation gives 0.0 meV/atom. The symmetry is No. 221. As for the crystal system: cubic.

---

No. 3
A plane-wave DFT calculation with PBE-GGA was carried out for a relaxed structure of LaNb3Hg.

a = 4.901 Å, b = 4.901 Å, c = 4.901 Å
α = 90.00°, β = 90.00°, γ = 90.00°
Element x y z (fractional)
La 0.000 0.000 0.000
Nb 0.000 0.000 0.500
Nb 0.000 0.500 0.000
Nb 0.500 0.000 0.000
Hg 0.500 0.500 0.500

Results
For the excess energy over the best structure of this formula in the dataset, the calculation gives 172.8 meV/atom. The symmetry is No. 221. As for the crystal system: cubic.

---

No. 4
A plane-wave DFT calculation with PBE-GGA was carried out for a relaxed structure of LaNb2Hg2.

a = 8.545 Å, b = 8.545 Å, c = 3.102 Å
α = 90.00°, β = 90.00°, γ = 90.00°
Element x y z (fractional)
La 0.000 0.000 0.000
La 0.500 0.500 0.000
Nb 0.109 0.391 0.000
Nb 0.391 0.891 0.000
Nb 0.609 0.109 0.000
Nb 0.891 0.609 0.000
Hg 0.183 0.683 0.500
Hg 0.317 0.183 0.500
Hg 0.683 0.817 0.500
Hg 0.817 0.317 0.500

Results
For the excess energy over the best structure of this formula in the dataset, the calculation gives 0.0 meV/atom. The symmetry is No. 127. As for the crystal system: tetragonal.

---

No. 5
A plane-wave DFT calculation with PBE-GGA was carried out for a relaxed structure of RbLaNbHg2.

a = 6.248 Å, b = 6.248 Å, c = 5.189 Å
α = 90.00°, β = 90.00°, γ = 90.00°
Element x y z (fractional)
Rb 0.000 0.000 0.000
La 0.500 0.500 0.500
Nb 0.500 0.500 0.000
Hg 0.000 0.500 0.500
Hg 0.500 0.000 0.500

Results
The symmetry is No. 123. As for the crystal system: tetragonal.

---

No. 6
A plane-wave DFT calculation with PBE-GGA was carried out for a relaxed structure of LaNbTl2Hg.

a = 5.930 Å, b = 5.930 Å, c = 5.670 Å
α = 90.00°, β = 90.00°, γ = 90.00°
Element x y z (fractional)
La 0.000 0.000 0.000
Nb 0.500 0.500 0.500
Tl 0.000 0.500 0.000
Tl 0.500 0.000 0.000
Hg 0.000 0.000 0.500

Results
The symmetry is No. 123. As for the crystal system: tetragonal.

---

No. 7
A plane-wave DFT calculation with PBE-GGA was carried out for a relaxed structure of La3Nd2Hg7.

a = 12.232 Å, b = 12.232 Å, c = 5.695 Å
α = 90.00°, β = 90.00°, γ = 155.05°
Element x y z (fractional)
La 0.000 0.000 0.000
La 0.172 0.828 0.000
La 0.828 0.172 0.000
Nd 0.359 0.641 0.500
Nd 0.641 0.359 0.500
Hg 0.073 0.927 0.500
Hg 0.225 0.775 0.500
Hg 0.415 0.585 0.000
Hg 0.500 0.500 0.500
Hg 0.585 0.415 0.000
Hg 0.775 0.225 0.500
Hg 0.927 0.073 0.500

Results
The symmetry is No. 65. As for the crystal system: orthorhombic.

---

No. 8
A plane-wave DFT calculation with PBE-GGA was carried out for a relaxed structure of LaNd6Hg2.

a = 6.803 Å, b = 6.803 Å, c = 12.353 Å
α = 107.64°, β = 107.64°, γ = 32.81°
Element x y z (fractional)
La 0.000 0.000 0.000
Nd 0.020 0.020 0.338
Nd 0.312 0.312 0.413
Nd 0.314 0.314 0.125
Nd 0.686 0.686 0.875
Nd 0.688 0.688 0.587
Nd 0.980 0.980 0.662
Hg 0.353 0.353 0.792
Hg 0.647 0.647 0.208

Results
For the excess energy over the best structure of this formula in the dataset, the calculation gives 0.0 meV/atom. The symmetry is No. 12. As for the crystal system: monoclinic.

---

No. 9
A plane-wave DFT calculation with PBE-GGA was carried out for a relaxed structure of LaNdHg.

a = 7.621 Å, b = 3.849 Å, c = 12.918 Å
α = 90.00°, β = 90.00°, γ = 90.00°
Element x y z (fractional)
La 0.132 0.250 0.092
La 0.368 0.750 0.592
La 0.632 0.250 0.408
La 0.868 0.750 0.908
Nd 0.116 0.250 0.395
Nd 0.384 0.750 0.895
Nd 0.616 0.250 0.105
Nd 0.884 0.750 0.605
Hg 0.125 0.250 0.760
Hg 0.375 0.750 0.260
Hg 0.625 0.250 0.740
Hg 0.875 0.750 0.240

Results
For the excess energy over the best structure of this formula in the dataset, the calculation gives 0.0 meV/atom. The symmetry is No. 62. As for the crystal system: orthorhombic.

---

No. 10
A plane-wave DFT calculation with PBE-GGA was carried out for a relaxed structure of La5NdHg3.

a = 9.537 Å, b = 9.537 Å, c = 7.177 Å
α = 90.00°, β = 90.00°, γ = 120.00°
Element x y z (fractional)
La 0.000 0.336 0.250
La 0.000 0.664 0.750
La 0.333 0.667 0.000
La 0.333 0.667 0.500
La 0.336 0.000 0.250
La 0.336 0.336 0.750
La 0.664 0.000 0.750
La 0.664 0.664 0.250
La 0.667 0.333 0.000
La 0.667 0.333 0.500
Nd 0.000 0.000 0.000
Nd 0.000 0.000 0.500
Hg 0.000 0.328 0.750
Hg 0.000 0.672 0.250
Hg 0.328 0.000 0.750
Hg 0.328 0.328 0.250
Hg 0.672 0.000 0.250
Hg 0.672 0.672 0.750

Results
The symmetry is No. 193. As for the crystal system: hexagonal.

---

No. 11
A plane-wave DFT calculation with PBE-GGA was carried out for a relaxed structure of La2Nd5Hg4.

a = 12.878 Å, b = 12.878 Å, c = 7.840 Å
α = 93.01°, β = 93.01°, γ = 16.06°
Element x y z (fractional)
La 0.095 0.095 0.202
La 0.905 0.905 0.798
Nd 0.140 0.140 0.644
Nd 0.234 0.234 0.294
Nd 0.500 0.500 0.500
Nd 0.766 0.766 0.706
Nd 0.860 0.860 0.356
Hg 0.032 0.032 0.836
Hg 0.325 0.325 0.023
Hg 0.675 0.675 0.977
Hg 0.968 0.968 0.164

Results
The symmetry is No. 12. As for the crystal system: monoclinic.

---

No. 12
A plane-wave DFT calculation with PBE-GGA was carried out for a relaxed structure of La6Nd3Hg.

a = 10.640 Å, b = 12.204 Å, c = 5.517 Å
α = 90.00°, β = 90.00°, γ = 90.00°
Element x y z (fractional)
La 0.070 0.249 0.000
La 0.169 0.079 0.500
La 0.216 0.386 0.500
La 0.284 0.886 0.000
La 0.331 0.579 0.000
La 0.430 0.749 0.500
La 0.570 0.251 0.500
La 0.669 0.421 0.000
La 0.716 0.114 0.000
La 0.784 0.614 0.500
La 0.831 0.921 0.500
La 0.930 0.751 0.000
Nd 0.000 0.500 0.000
Nd 0.119 0.714 0.500
Nd 0.381 0.214 0.000
Nd 0.500 0.000 0.500
Nd 0.619 0.786 0.000
Nd 0.881 0.286 0.500
Hg 0.000 0.000 0.000
Hg 0.500 0.500 0.500

Results
For the excess energy over the best structure of this formula in the dataset, the calculation gives 62.9 meV/atom. The symmetry is No. 58. As for the crystal system: orthorhombic.

---

Number 1: DFT total energy -4.83 eV per atom, formation energy from the elements 305.5 meV/atom, volume 124.97 Å³/f.u.. Number 2: DFT total energy -4.79 eV per atom, formation energy from the elements 239.0 meV/atom, volume 174.81 Å³/f.u.. Number 3: DFT total energy -5.41 eV per atom, formation energy from the elements 1678.3 meV/atom, volume 117.71 Å³/f.u.. Number 4: DFT total energy -4.95 eV per atom, formation energy from the elements 179.2 meV/atom, volume 113.24 Å³/f.u.. Number 5: DFT total energy -2.58 eV per atom, formation energy from the elements 730.6 meV/atom, volume 202.57 Å³/f.u.. Number 6: DFT total energy -2.44 eV per atom, formation energy from the elements 1566.7 meV/atom, volume 199.39 Å³/f.u.. Number 7: DFT total energy -2.56 eV per atom, formation energy from the elements -356.5 meV/atom, volume 359.48 Å³/f.u.. Number 8: DFT total energy -4.00 eV per atom, formation energy from the elements -210.4 meV/atom, volume 293.88 Å³/f.u.. Number 9: DFT total energy -3.65 eV per atom, formation energy from the elements -314.8 meV/atom, volume 94.73 Å³/f.u.. Number 10: DFT total energy -3.66 eV per atom, formation energy from the elements -294.6 meV/atom, volume 282.68 Å³/f.u.. Number 11: DFT total energy -3.31 eV per atom, formation energy from the elements -135.9 meV/atom, volume 359.29 Å³/f.u.. Number 12: DFT total energy -4.42 eV per atom, formation energy from the elements -0.3 meV/atom, volume 358.19 Å³/f.u..